Crystalline Rb8ThMo6O24 at its relaxed geometry. Source: Alexandria, functional GGA+U.

The structure in extended XYZ format:
```
78
Lattice="10.7501 0.0268 0.0151 -5.1017 9.4624 0.0151 -1.8175 -3.0533 14.8936" Properties=species:S:1:pos:R:3 pbc="T T T"
Rb 0.1931 3.1447 6.7647
Rb 2.0674 6.2935 0.7124
Rb 7.1635 2.9427 0.7254
Rb 2.1145 6.2062 14.1541
Rb 0.0260 3.3088 11.1853
Rb -1.7374 6.1732 8.1722
Rb 3.6378 3.2911 8.1592
Rb 1.7164 0.2297 0.7698
Rb 8.9645 0.0558 3.7385
Rb 3.8049 3.1271 3.7385
Rb 5.3560 6.3442 6.7073
Rb 1.7635 0.1424 14.2115
Rb -5.1336 6.3800 11.1853
Rb 5.5682 0.2627 6.7517
Rb -3.3326 3.4932 14.1985
Rb -1.5251 0.0917 8.2166
O -2.5798 4.9375 5.3841
O 4.1099 2.6504 10.9784
O 8.3172 1.9824 5.9448
O -0.7143 5.1197 13.4736
O 6.0661 -1.4954 10.0117
O 4.9753 4.9181 1.4292
O 6.9624 -0.2937 1.5323
O 1.2665 -1.3695 9.0384
O 4.7298 4.4489 13.3323
O -0.8000 4.9468 1.5671
O -4.4863 4.4535 8.9791
O 4.6309 1.4891 13.3568
O 7.0988 2.9768 3.5050
O 2.3539 5.6893 11.3854
O 5.1815 7.8189 1.5315
O 5.5074 0.3032 3.9721
O -1.3506 -1.3830 13.3924
O -3.2679 3.4591 11.4189
O 0.0098 6.3073 5.9100
O 2.1363 3.0620 13.2474
O 6.4107 1.4984 9.5398
O 7.1288 0.2899 12.3590
O 1.6946 3.3739 1.6764
O 2.7886 1.2443 6.0479
O -0.8989 1.9870 1.5916
O 2.5644 7.8054 5.8855
O 2.5818 4.8644 5.8006
O -0.9566 0.1276 10.9853
O -3.2979 6.1460 2.5649
O 5.7497 3.3397 6.0268
O 3.4939 6.7558 8.9783
O 1.2791 6.4030 3.5316
O 0.3370 -0.3199 5.9456
O -3.1315 6.7296 13.3916
O -2.2352 7.9313 4.9122
O -1.1444 1.5178 13.4947
O 4.5452 1.3161 1.4503
O 1.2491 1.5715 9.1232
O 4.6615 -1.4403 12.8309
O 2.5518 0.0329 11.3923
O 4.7875 6.3082 3.9386
O 3.8211 0.1286 9.0139
O -1.9188 3.0962 8.8971
O -0.2790 3.7855 3.9455
O -0.8306 7.8762 2.0930
O 1.4770 0.7466 3.5385
O 1.0423 5.1916 8.8760
O -1.6766 6.1326 10.9518
Mo -1.5036 6.5133 12.6739
Mo 2.1027 0.0908 9.6249
Mo -0.0139 3.4183 2.1781
Mo 1.7282 6.3451 5.2989
Mo 3.8448 3.0176 12.7457
Mo 1.9532 6.4107 9.8127
Mo -3.5200 3.1256 9.6968
Mo 5.6127 6.3000 2.3659
Mo -1.7818 0.1359 12.5580
Mo 1.8777 0.0252 5.1112
Mo 7.3509 3.3103 5.2271
Mo 5.3345 -0.0774 2.2500
Th -1.3004 6.1660 3.7385
Th 5.1313 0.2699 11.1853
```

**Size of the total moment**: 0.70 μB/cell
**DFT total energy**: -6.53 eV/atom
**Symmetry**: C2/c (15)